The following is a DFT calculation (PBE) of crystalline Y3Ag at its relaxed geometry.

Cell: 4.805 4.805 4.805 Å, 90.00 90.00 90.00°
Space group Pm-3m (No. 221)
Symmetry-distinct sites (fractional):
Y  0.000  0.000  0.500 [3 per cell]
Ag  0.500  0.500  0.500 [1 per cell]

Properties
Electronic total energy in eV per atom: -5.542
Energy of formation from the pure elements in eV per formula unit: 0.076
E above lowest polymorph in meV/atom: 155
Calculated volume in Å³/atom: 27.73


The following is a DFT calculation (PBE) of crystalline TeAsAu2 at its relaxed geometry.

Cell: 5.907 7.736 3.954 Å, 90.00 90.00 90.00°
Space group Cmmm (No. 65)
Symmetry-distinct sites (fractional):
Te  0.000  0.000  0.000 [2 per cell]
As  0.000  0.500  0.000 [2 per cell]
Au  0.000  0.266  0.500 [4 per cell]

Properties
Electronic total energy in eV per atom: -3.530
Energy relative to the elements, uncorrected in eV per atom: 0.056
E above lowest polymorph in meV/atom: 44
Calculated volume in Å³/atom: 22.59


The following is a DFT calculation (PBE) of crystalline Ac3Mg7In2 at its relaxed geometry.

Cell: 6.3294 6.3294 29.9003 Å, 90.00 90.00 120.00°
Space group R-3m (No. 166, hexagonal axes)
Symmetry-distinct sites (fractional):
Ac  0.0000  0.0000  0.0000 [3 per cell]
Ac  0.0000  0.0000  0.1440 [6 per cell]
Mg  0.0000  0.0000  0.5000 [3 per cell]
Mg  0.0031  0.5015  0.9188 [18 per cell]
In  0.0000  0.0000  0.3342 [6 per cell]

Properties
Electronic total energy in eV per atom: -2.595
Energy of formation from the pure elements in eV per formula unit: -2.180
E above lowest polymorph in meV/atom: 0
Calculated volume in Å³/atom: 28.82


The following is a DFT calculation (PBE) of crystalline Pr2DyY at its relaxed geometry.

Cell: 3.6442 3.6442 35.2833 Å, 90.00 90.00 120.00°
Space group R-3m (No. 166, hexagonal axes)
Symmetry-distinct sites (fractional):
Pr  0.0000  0.0000  0.2504 [6 per cell]
Dy  0.0000  0.0000  0.0000 [3 per cell]
Y  0.0000  0.0000  0.5000 [3 per cell]

Properties
Electronic total energy in eV per atom: -5.147
Energy of formation from the pure elements in eV per formula unit: 0.037
E above lowest polymorph in meV/atom: 0
Calculated volume in Å³/atom: 33.82


The following is a DFT calculation (PBE) of crystalline NdY2Sc at its relaxed geometry.

Cell: 3.610 11.225 6.164 Å, 90.00 90.00 90.00°
Space group Imm2 (No. 44)
Symmetry-distinct sites (fractional):
Nd  0.000  0.000  0.000 [2 per cell]
Y  0.000  0.242  0.650 [4 per cell]
Sc  0.000  0.500  0.989 [2 per cell]

Properties
Electronic total energy in eV per atom: -5.978
Energy of formation from the pure elements in eV per formula unit: 0.117
E above lowest polymorph in meV/atom: 0
Calculated volume in Å³/atom: 31.22


The following is a DFT calculation (PBE) of crystalline NaLaCl4 at its relaxed geometry.

Cell: 5.608 8.973 8.338 Å, 90.00 109.41 90.00°
Space group P2_1/m (No. 11)
Symmetry-distinct sites (fractional):
Na  0.250  0.250  0.021 [2 per cell]
La  0.452  0.750  0.397 [2 per cell]
Cl  0.071  0.250  0.648 [2 per cell]
Cl  0.281  0.750  0.043 [2 per cell]
Cl  0.388  0.063  0.304 [4 per cell]

Properties
Electronic total energy in eV per atom: -4.447
Energy relative to the elements, uncorrected in eV per atom: -2.175
E above lowest polymorph in meV/atom: 25
Calculated volume in Å³/atom: 32.98


What did the second record say?
The following is a DFT calculation (PBE) of crystalline TeAsAu2 at its relaxed geometry.

Cell: 5.907 7.736 3.954 Å, 90.00 90.00 90.00°
Space group Cmmm (No. 65)
Symmetry-distinct sites (fractional):
Te  0.000  0.000  0.000 [2 per cell]
As  0.000  0.500  0.000 [2 per cell]
Au  0.000  0.266  0.500 [4 per cell]

Properties
Electronic total energy in eV per atom: -3.530
Energy relative to the elements, uncorrected in eV per atom: 0.056
E above lowest polymorph in meV/atom: 44
Calculated volume in Å³/atom: 22.59


Copy entry 6 word for word.
The following is a DFT calculation (PBE) of crystalline NaLaCl4 at its relaxed geometry.

Cell: 5.608 8.973 8.338 Å, 90.00 109.41 90.00°
Space group P2_1/m (No. 11)
Symmetry-distinct sites (fractional):
Na  0.250  0.250  0.021 [2 per cell]
La  0.452  0.750  0.397 [2 per cell]
Cl  0.071  0.250  0.648 [2 per cell]
Cl  0.281  0.750  0.043 [2 per cell]
Cl  0.388  0.063  0.304 [4 per cell]

Properties
Electronic total energy in eV per atom: -4.447
Energy relative to the elements, uncorrected in eV per atom: -2.175
E above lowest polymorph in meV/atom: 25
Calculated volume in Å³/atom: 32.98